## KBeCd2Au (PBE)

Data for a geometry-optimized KBeCd2Au structure.

abc: 4.9256 4.9256 4.7735
angles: 90.00 90.00 90.00
Fractional positions:
K: 0.0000 0.0000 0.0000
Be: 0.5000 0.5000 0.5000
Cd: 0.0000 0.5000 0.5000
Cd: 0.5000 0.0000 0.5000
Au: 0.5000 0.5000 0.0000

Calculated values
As for the formation energy: 0.02 eV/atom. The space-group type is P4/mmm.